Entry from Alexandria via LeMat-Bulk: a geometry-optimized Nd3Sm2Dy3 structure (GGA-PBE).

## Properties
As for the calculated total energy: -4.5659 eV/atom. Its space-group type is No. 11.

Geometry as POSCAR:
```
Nd3Sm2Dy3
1.0
-0.702 -4.185 -3.688
3.041 -1.697 5.642
-14.294 -3.473 6.660
Dy Nd Sm
6 6 4
direct
0.540 0.081 0.750 Dy
0.381 0.761 0.950 Dy
0.460 0.919 0.250 Dy
0.381 0.761 0.550 Dy
0.619 0.239 0.450 Dy
0.619 0.239 0.050 Dy
0.075 0.150 0.594 Nd
0.925 0.850 0.094 Nd
0.925 0.850 0.406 Nd
0.075 0.150 0.906 Nd
0.266 0.532 0.750 Nd
0.734 0.468 0.250 Nd
0.779 0.557 0.871 Sm
0.221 0.443 0.371 Sm
0.221 0.443 0.129 Sm
0.779 0.557 0.629 Sm
```



Entry from Alexandria via LeMat-Bulk: a geometry-optimized Nd2SmDy3 structure (GGA-PBE).

## Properties
As for the calculated total energy: -4.6103 eV/atom. Its space-group type is No. 15.

Geometry as POSCAR:
```
Nd2SmDy3
1.0
0.117 7.856 -4.460
-4.262 3.339 3.944
5.533 2.539 2.793
Dy Nd Sm
6 4 2
direct
0.501 0.333 0.166 Dy
0.250 0.418 0.582 Dy
0.499 0.667 0.834 Dy
0.001 0.166 0.333 Dy
0.999 0.834 0.667 Dy
0.750 0.582 0.418 Dy
0.626 0.128 0.624 Nd
0.874 0.376 0.872 Nd
0.126 0.624 0.128 Nd
0.374 0.872 0.376 Nd
0.750 0.916 0.084 Sm
0.250 0.084 0.916 Sm
```



Entry from Alexandria via LeMat-Bulk: a geometry-optimized NdSm2Dy5 structure (GGA-PBE).

## Properties
As for the calculated total energy: -4.6358 eV/atom. Its space-group type is No. 55.

Geometry as POSCAR:
```
NdSm2Dy5
1.0
5.056 0.000 0.000
0.000 7.166 0.000
0.000 0.000 14.337
Dy Sm Nd
10 4 2
direct
0.000 0.001 0.751 Dy
0.500 0.750 0.126 Dy
0.000 0.999 0.249 Dy
0.500 0.750 0.626 Dy
0.000 0.501 0.749 Dy
0.500 0.250 0.374 Dy
0.000 0.500 0.500 Dy
0.500 0.250 0.874 Dy
0.000 0.000 0.000 Dy
0.000 0.499 0.251 Dy
0.500 0.251 0.626 Sm
0.500 0.749 0.374 Sm
0.500 0.751 0.874 Sm
0.500 0.249 0.126 Sm
0.000 0.000 0.500 Nd
0.000 0.500 0.000 Nd
```



Number 1: formation enthalpy at 0 K 0.128 eV/atom, excess energy over the best structure of this formula in the dataset 110 meV per atom. Number 2: formation enthalpy at 0 K 0.067 eV/atom, excess energy over the best structure of this formula in the dataset 0 meV per atom. Number 3: formation enthalpy at 0 K 0.016 eV/atom, excess energy over the best structure of this formula in the dataset 0 meV per atom.